Entry 1:
## GaHSe (PBE-GGA)

Data for a relaxed GaHSe crystal.

The value obtained for the energy above the most stable polymorph in this dataset is 0.313 eV/atom. The value obtained for the volume is 22.615 Å³/atom. For the electronic total energy, the calculation gives -3.308 eV per atom. The crystal system is monoclinic.

Cell and atoms, written as POSCAR:
```
GaHSe
1.0
4.045 0.000 0.000
-2.023 6.613 -0.260
0.000 0.005 5.072
Ga H Se
2 2 2
direct
0.026 0.052 0.062
0.221 0.442 0.245
0.740 0.481 0.692
0.507 0.013 0.616
0.449 0.898 0.356
0.798 0.596 0.951
```

=====

Entry 2:
## GaHSe (PBE-GGA)

Data for a relaxed GaHSe crystal.

The value obtained for the energy above the most stable polymorph in this dataset is 0.000 eV/atom. The value obtained for the volume is 23.122 Å³/atom. For the electronic total energy, the calculation gives -3.621 eV per atom. The crystal system is trigonal.

Cell and atoms, written as POSCAR:
```
GaHSe
1.0
3.791 0.000 0.000
-1.895 3.283 0.000
0.000 0.000 5.573
Ga H Se
1 1 1
direct
0.333 0.667 0.775
0.333 0.667 0.054
0.667 0.333 0.568
```